CoRe3 | meta-GGA SCAN | single point on PBEsol structure

Output
formation energy from the elements: 61 meV/atom
SG: Pmm2 (25)
DOS at the Fermi energy: 3.3 states/eV per cell
E_tot: -57.588 eV per atom

a b c (Å): 2.6980 4.2976 4.6760
angles (deg): 90.00 90.00 90.00
Last column: magnetic moment on the atom in μB.
Atoms (fractional coordinates):
1 Re 0.5000 0.5000 0.8405  -0.04
2 Re 0.0000 0.5000 0.3266  0.02
3 Re 0.5000 0.0000 0.5078  -0.04
4 Co 0.0000 0.0000 0.9919  1.05